# AcF3, single point on PBEsol structure, DFT SCAN
# Total magnetization, μB/f.u.: 0.0
# Calculated volume, A^3/atom: 13.10
# Energy relative to the elements, uncorrected, eV per atom: -4.4388
data_AcF3
_cell_length_a 3.9534
_cell_length_b 3.9534
_cell_length_c 6.7051
_cell_angle_alpha 90.00
_cell_angle_beta 90.00
_cell_angle_gamma 90.00
_space_group_name_H-M_alt 'I 4/m m m'
_space_group_IT_number 139
_space_group_name_Hall '-I 4 2'
loop_
_atom_site_label
_atom_site_type_symbol
_atom_site_fract_x
_atom_site_fract_y
_atom_site_fract_z
Ac1 Ac 0.0000 0.0000 0.0000
F1 F 0.0000 0.0000 0.5000
F2 F 0.0000 0.5000 0.2500



# TaBe2Zn, single point on PBEsol structure, DFT SCAN
# Total magnetization, μB/f.u.: 0.0
# Calculated volume, A^3/atom: 12.02
# Energy of formation, eV/f.u.: -0.3
data_TaBe2Zn
_cell_length_a 3.7457
_cell_length_b 3.7457
_cell_length_c 3.4280
_cell_angle_alpha 90.00
_cell_angle_beta 90.00
_cell_angle_gamma 90.00
_space_group_name_H-M_alt 'P 4/m m m'
_space_group_IT_number 123
_space_group_name_Hall '-P 4 2'
loop_
_atom_site_label
_atom_site_type_symbol
_atom_site_fract_x
_atom_site_fract_y
_atom_site_fract_z
Ta1 Ta 0.0000 0.0000 0.0000
Be1 Be 0.0000 0.5000 0.5000
Zn1 Zn 0.5000 0.5000 0.0000



# TcAg3Ge, single point on PBEsol structure, DFT SCAN
# Total magnetization, μB/f.u.: 2.8
# Calculated volume, A^3/atom: 23.81
# Energy of formation, eV/f.u.: 8.1
data_TcAg3Ge
_cell_length_a 4.9193
_cell_length_b 4.9193
_cell_length_c 4.9193
_cell_angle_alpha 90.00
_cell_angle_beta 90.00
_cell_angle_gamma 90.00
_space_group_name_H-M_alt 'P m -3 m'
_space_group_IT_number 221
_space_group_name_Hall '-P 4 2 3'
loop_
_atom_site_label
_atom_site_type_symbol
_atom_site_fract_x
_atom_site_fract_y
_atom_site_fract_z
Tc1 Tc 0.0000 0.0000 0.0000
Ag1 Ag 0.0000 0.0000 0.5000
Ge1 Ge 0.5000 0.5000 0.5000



# MgCd2Ni, single point on PBEsol structure, DFT SCAN
# Total magnetization, μB/f.u.: 0.0
# Calculated volume, A^3/atom: 16.71
# Energy of formation, eV/f.u.: -0.1
data_MgCd2Ni
_cell_length_a 4.0249
_cell_length_b 4.0249
_cell_length_c 8.2543
_cell_angle_alpha 90.00
_cell_angle_beta 90.00
_cell_angle_gamma 90.00
_space_group_name_H-M_alt 'I 4/m m m'
_space_group_IT_number 139
_space_group_name_Hall '-I 4 2'
loop_
_atom_site_label
_atom_site_type_symbol
_atom_site_fract_x
_atom_site_fract_y
_atom_site_fract_z
Mg1 Mg 0.0000 0.0000 0.0000
Cd1 Cd 0.0000 0.5000 0.2500
Ni1 Ni 0.0000 0.0000 0.5000



# MnZn2Ru, single point on PBEsol structure, DFT SCAN
# Total magnetization, μB/f.u.: 4.4
# Calculated volume, A^3/atom: 13.17
# Energy of formation, eV/f.u.: -0.9
data_MnZn2Ru
_cell_length_a 3.7452
_cell_length_b 3.7452
_cell_length_c 7.5097
_cell_angle_alpha 90.00
_cell_angle_beta 90.00
_cell_angle_gamma 90.00
_space_group_name_H-M_alt 'I 4/m m m'
_space_group_IT_number 139
_space_group_name_Hall '-I 4 2'
loop_
_atom_site_label
_atom_site_type_symbol
_atom_site_fract_x
_atom_site_fract_y
_atom_site_fract_z
Mn1 Mn 0.0000 0.0000 0.0000
Zn1 Zn 0.0000 0.5000 0.2500
Ru1 Ru 0.0000 0.0000 0.5000



# ScBi3Au, single point on PBEsol structure, DFT SCAN
# Total magnetization, μB/f.u.: 0.0
# Calculated volume, A^3/atom: 32.10
# Energy of formation, eV/f.u.: 2.2
data_ScBi3Au
_cell_length_a 5.4347
_cell_length_b 5.4347
_cell_length_c 5.4347
_cell_angle_alpha 90.00
_cell_angle_beta 90.00
_cell_angle_gamma 90.00
_space_group_name_H-M_alt 'P m -3 m'
_space_group_IT_number 221
_space_group_name_Hall '-P 4 2 3'
loop_
_atom_site_label
_atom_site_type_symbol
_atom_site_fract_x
_atom_site_fract_y
_atom_site_fract_z
Sc1 Sc 0.0000 0.0000 0.0000
Bi1 Bi 0.0000 0.5000 0.5000
Au1 Au 0.5000 0.5000 0.5000